[1]
DFT (PBE-GGA) results for GdMgCdRu after structural relaxation.

abc: 6.9109 6.9109 6.9109
angles: 90.00 90.00 90.00
Space group F-43m (No. 216)
Unique sites:
Gd: 0.0000 0.0000 0.0000 x4
Mg: 0.0000 0.0000 0.5000 x4
Cd: 0.2500 0.2500 0.7500 x4
Ru: 0.2500 0.2500 0.2500 x4

Output
Formation energy: -0.082 eV per atom

---

[2]
DFT (PBE-GGA) results for ZnHg2Sb after structural relaxation.

abc: 3.4731 3.4731 27.0861
angles: 90.00 90.00 120.00
Space group R-3m (No. 166, hexagonal axes)
Unique sites:
Zn: 0.0000 0.0000 0.0000 x3
Hg: 0.0000 0.0000 0.2604 x6
Sb: 0.0000 0.0000 0.5000 x3

Output
ΔE_f (raw): 0.120 eV/atom

---

[3]
DFT (PBE-GGA) results for NaSnI6 after structural relaxation.

abc: 7.1203 7.5536 7.9366
angles: 64.52 71.71 64.99
Space group P-1 (No. 2)
Unique sites:
Na: 0.0000 0.0000 0.0000 x1
Sn: 0.5000 0.5000 0.5000 x1
I: 0.2207 0.5574 0.2785 x2
I: 0.2458 0.3207 0.8641 x2
I: 0.2605 0.9380 0.5223 x2

Output
ΔE_f (raw): -0.374 eV/atom

---

[4]
DFT (PBE-GGA) results for In3NiAg after structural relaxation.

abc: 4.9469 4.9469 4.9469
angles: 90.00 90.00 90.00
Space group Pm-3m (No. 221)
Unique sites:
In: 0.0000 0.0000 0.5000 x3
Ni: 0.0000 0.0000 0.0000 x1
Ag: 0.5000 0.5000 0.5000 x1

Output
Formation energy: 0.091 eV per atom